GGA-PBEsol MoSe, optimized geometry; E = -29.8 eV for the cell shown; V = 15.8 Å³/atom; offset from the most stable computed form = 0.61 eV per formula unit; space group = I4_1/amd, No. 141; total magnetic moment = 0.0000 μB per atom
1.0
-3.845 1.066 -0.539
0.188 -1.254 -3.822
0.686 -3.466 3.292
Mo Se
2 2
Direct
0.000 0.000 0.000 Mo
0.250 0.750 0.500 Mo
0.750 0.250 0.500 Se
0.500 0.500 0.000 Se